LaMoP2O, optimized geometry, DFT PBE+U; SG = P4/mmm, No. 123; final energy = -0.47130 Ry/atom; energy above the most stable polymorph in this dataset = 0.000 eV per atom
1.0
-0.7412 4.9164 0.1813
-4.7270 -0.6608 -1.4046
-1.0660 -0.2981 3.7278
O La P Mo
1 1 2 1
direct
0.0000 0.0000 0.5000
0.5000 0.5000 0.5000
0.5000 0.0000 0.0000
0.0000 0.5000 0.0000
0.0000 0.0000 0.0000